This record from Alexandria describes a relaxed YHfAlZn crystal. The functional is GGA-PBE.

Cell and atoms, written as POSCAR:
```
YHfAlZn
1.0
4.8817 0.0000 0.0000
2.4409 4.2277 0.0000
2.4409 1.4092 3.9859
Y Hf Zn Al
1 1 1 1
Direct
0.7500 0.7500 0.7500
0.2500 0.2500 0.2500
0.0000 0.0000 0.0000
0.5000 0.5000 0.5000
```

Values from the calculation:
The total DFT energy (no corrections) comes out at -5.61 eV per atom. As for the calculated formation energy: -1.02 eV per formula unit. Its symmetry is F-43m, No. 216.

---

This record from Alexandria describes a relaxed KNa2ZnSn crystal. The functional is GGA-PBE.

Cell and atoms, written as POSCAR:
```
KNa2ZnSn
1.0
6.0419 0.0000 0.0000
0.0000 6.0419 0.0000
0.0000 0.0000 5.2691
Na K Zn Sn
2 1 1 1
Direct
0.0000 0.5000 0.0000
0.5000 0.0000 0.0000
0.5000 0.5000 0.5000
0.0000 0.0000 0.5000
0.0000 0.0000 0.0000
```

Values from the calculation:
The total DFT energy (no corrections) comes out at -1.79 eV per atom. As for the calculated formation energy: 0.05 eV per formula unit. Its symmetry is P4/mmm, No. 123.

---

Q: What is the total DFT energy (no corrections) in the first record?
A: -5.61 eV per atom

---

Q: calculated formation energy of number 2 (KNa2ZnSn)?
A: 0.05 eV per formula unit

---

Q: Look up the calculated formation energy of the second one.
A: 0.05 eV per formula unit

---

Q: What is the total DFT energy (no corrections) in the second record?
A: -1.79 eV per atom